A relaxed structure of ZnCoBr3, computed with PBE.

space-group type = Pm-3m
energy relative to the lowest polymorph listed for this composition = 0.000 eV/atom
E_form (uncorrected) = 0.061 eV/atom

abc: 4.970 4.970 4.970
angles: 90.00 90.00 90.00
Each line ends with the local moment (μB).
Element x y z (fractional)
1 Zn 0.500 0.500 0.500  -0.05
2 Co 0.000 0.000 0.000  1.58
3 Br 0.000 0.500 0.000  0.03
4 Br 0.000 0.000 0.500  0.03
5 Br 0.500 0.000 0.000  0.03